No. 1
## Li6TmSn4 (PBE)

Data for a relaxed Li6TmSn4 crystal.

```
Li6TmSn4
1.0
9.318 0.000 0.000
-4.659 8.069 0.000
0.000 0.000 3.201
Li Tm Sn
6 1 4
Direct
0.188 0.375 0.000 Li
0.188 0.812 0.000 Li
0.522 0.044 0.500 Li
0.522 0.478 0.500 Li
0.625 0.812 0.000 Li
0.956 0.478 0.500 Li
0.000 0.000 0.500 Tm
0.333 0.667 0.500 Sn
0.341 0.170 0.000 Sn
0.830 0.170 0.000 Sn
0.830 0.659 0.000 Sn
```

***

No. 2
## LiTmSn4 (PBE)

Data for a relaxed LiTmSn4 crystal.

```
LiTmSn4
1.0
5.619 0.000 0.000
0.000 5.619 0.000
-0.008 0.000 9.439
Li Tm Sn
2 2 8
Direct
0.000 0.000 0.000 Li
0.500 0.500 0.000 Li
0.000 0.500 0.500 Tm
0.500 0.000 0.500 Tm
0.001 0.000 0.677 Sn
0.001 0.500 0.842 Sn
0.499 0.000 0.158 Sn
0.499 0.500 0.323 Sn
0.501 0.000 0.842 Sn
0.501 0.500 0.677 Sn
0.999 0.000 0.323 Sn
0.999 0.500 0.158 Sn
```

***

No. 3
## LiTm2Sn2 (PBE)

Data for a relaxed LiTm2Sn2 crystal.

```
LiTm2Sn2
1.0
-3.214 6.371 3.122
3.214 -6.371 3.122
3.214 6.371 -3.122
Li Tm Sn
2 4 4
Direct
0.250 0.250 0.000 Li
0.750 0.750 0.000 Li
0.141 0.718 0.859 Tm
0.359 0.218 0.577 Tm
0.641 0.782 0.423 Tm
0.859 0.282 0.141 Tm
0.117 0.241 0.358 Sn
0.383 0.741 0.125 Sn
0.617 0.259 0.875 Sn
0.883 0.759 0.642 Sn
```

***

No. 4
## LiYTmSn (PBE)

Data for a relaxed LiYTmSn crystal.

```
LiYTmSn
1.0
7.332 0.000 0.000
0.000 7.332 0.000
0.000 0.000 7.332
Li Y Tm Sn
4 4 4 4
Direct
0.000 0.000 0.000 Li
0.000 0.500 0.500 Li
0.500 0.000 0.500 Li
0.500 0.500 0.000 Li
0.250 0.250 0.250 Y
0.250 0.750 0.750 Y
0.750 0.250 0.750 Y
0.750 0.750 0.250 Y
0.250 0.250 0.750 Tm
0.250 0.750 0.250 Tm
0.750 0.250 0.250 Tm
0.750 0.750 0.750 Tm
0.000 0.000 0.500 Sn
0.000 0.500 0.000 Sn
0.500 0.000 0.000 Sn
0.500 0.500 0.500 Sn
```

***

| no. | calculated formation energy (meV/atom) |
| --- | --- |
| 1 | -350 |
| 2 | -252 |
| 3 | -472 |
| 4 | -407 |